(1)
Material: Na3IO
Method: DFT, PBE-GGA
State: optimized geometry

a = 4.599 Å, b = 4.688 Å, c = 11.101 Å
α = 90.00°, β = 101.71°, γ = 90.00°
Sites, in units of the cell vectors:
Na: 0.048 0.250 0.091
Na: 0.173 0.750 0.337
Na: 0.421 0.250 0.854
Na: 0.579 0.750 0.146
Na: 0.827 0.250 0.663
Na: 0.952 0.750 0.909
I: 0.319 0.750 0.645
I: 0.681 0.250 0.355
O: 0.069 0.750 0.126
O: 0.931 0.250 0.874



(2)
Material: NaI2O2
Method: DFT, PBE-GGA
State: optimized geometry

Properties
- distance to the lowest polymorph of the same formula (eV per atom) = 1.217

a = 5.890 Å, b = 5.890 Å, c = 4.159 Å
α = 90.00°, β = 90.00°, γ = 90.00°
Sites, in units of the cell vectors:
Na: 0.000 0.000 0.000
I: 0.000 0.500 0.000
I: 0.500 0.000 0.000
O: 0.000 0.000 0.500
O: 0.500 0.500 0.500



(3)
Material: NaIO3
Method: DFT, PBE-GGA
State: optimized geometry

a = 6.103 Å, b = 10.269 Å, c = 7.284 Å
α = 90.00°, β = 124.10°, γ = 90.00°
Sites, in units of the cell vectors:
Na: 0.238 0.085 0.488
Na: 0.238 0.415 0.988
Na: 0.762 0.585 0.012
Na: 0.762 0.915 0.512
I: 0.300 0.739 0.038
I: 0.300 0.761 0.538
I: 0.700 0.239 0.462
I: 0.700 0.261 0.962
O: 0.222 0.613 0.175
O: 0.222 0.887 0.675
O: 0.293 0.622 0.839
O: 0.293 0.878 0.339
O: 0.342 0.246 0.775
O: 0.342 0.254 0.275
O: 0.658 0.746 0.725
O: 0.658 0.754 0.225
O: 0.707 0.122 0.661
O: 0.707 0.378 0.161
O: 0.778 0.113 0.325
O: 0.778 0.387 0.825



(4)
Material: Na2IO6
Method: DFT, PBE-GGA
State: optimized geometry

Properties
- distance to the lowest polymorph of the same formula (eV per atom) = 0.000

a = 5.189 Å, b = 5.189 Å, c = 10.341 Å
α = 90.00°, β = 90.00°, γ = 90.00°
Sites, in units of the cell vectors:
Na: 0.000 0.000 0.161
Na: 0.000 0.000 0.839
Na: 0.500 0.500 0.339
Na: 0.500 0.500 0.661
I: 0.000 0.000 0.500
I: 0.500 0.500 0.000
O: 0.176 0.176 0.369
O: 0.176 0.176 0.631
O: 0.245 0.245 0.000
O: 0.255 0.745 0.500
O: 0.324 0.676 0.131
O: 0.324 0.676 0.869
O: 0.676 0.324 0.131
O: 0.676 0.324 0.869
O: 0.745 0.255 0.500
O: 0.755 0.755 0.000
O: 0.824 0.824 0.369
O: 0.824 0.824 0.631



(5)
Material: Na3IO
Method: DFT, PBE-GGA
State: optimized geometry

a = 4.662 Å, b = 7.195 Å, c = 7.506 Å
α = 90.00°, β = 90.02°, γ = 90.00°
Sites, in units of the cell vectors:
Na: 0.000 0.000 0.000
Na: 0.000 0.500 0.000
Na: 0.001 0.250 0.471
Na: 0.500 0.250 0.183
Na: 0.500 0.750 0.817
Na: 0.999 0.750 0.529
I: 0.499 0.750 0.265
I: 0.501 0.250 0.735
O: 0.000 0.250 0.182
O: 0.000 0.750 0.818



(6)
Material: Na3IO
Method: DFT, PBE-GGA
State: optimized geometry

a = 4.634 Å, b = 7.119 Å, c = 7.715 Å
α = 90.00°, β = 107.15°, γ = 90.00°
Sites, in units of the cell vectors:
Na: 0.013 0.250 0.028
Na: 0.398 0.017 0.793
Na: 0.398 0.483 0.793
Na: 0.602 0.517 0.207
Na: 0.602 0.983 0.207
Na: 0.987 0.750 0.972
I: 0.202 0.750 0.409
I: 0.798 0.250 0.591
O: 0.487 0.750 0.972
O: 0.513 0.250 0.028



(7)
Material: Na3IO
Method: DFT, PBE-GGA
State: optimized geometry

a = 7.346 Å, b = 8.079 Å, c = 8.027 Å
α = 90.00°, β = 90.00°, γ = 90.00°
Sites, in units of the cell vectors:
Na: 0.086 0.057 0.125
Na: 0.086 0.443 0.125
Na: 0.228 0.250 0.745
Na: 0.272 0.750 0.245
Na: 0.414 0.557 0.625
Na: 0.414 0.943 0.625
Na: 0.586 0.057 0.375
Na: 0.586 0.443 0.375
Na: 0.728 0.250 0.755
Na: 0.772 0.750 0.255
Na: 0.914 0.557 0.875
Na: 0.914 0.943 0.875
I: 0.000 0.000 0.500
I: 0.000 0.500 0.500
I: 0.500 0.000 0.000
I: 0.500 0.500 0.000
O: 0.009 0.750 0.066
O: 0.491 0.250 0.566
O: 0.509 0.750 0.434
O: 0.991 0.250 0.934



(8)
Material: NaI2O6
Method: DFT, PBE-GGA
State: optimized geometry

Properties
- distance to the lowest polymorph of the same formula (eV per atom) = 0.038

a = 5.753 Å, b = 5.377 Å, c = 12.114 Å
α = 90.00°, β = 106.96°, γ = 90.00°
Sites, in units of the cell vectors:
Na: 0.000 0.000 0.000
Na: 0.000 0.500 0.500
I: 0.259 0.228 0.753
I: 0.259 0.272 0.253
I: 0.741 0.728 0.747
I: 0.741 0.772 0.247
O: 0.072 0.016 0.816
O: 0.072 0.484 0.316
O: 0.165 0.133 0.605
O: 0.165 0.367 0.105
O: 0.444 0.563 0.690
O: 0.444 0.937 0.190
O: 0.556 0.063 0.810
O: 0.556 0.437 0.310
O: 0.835 0.633 0.895
O: 0.835 0.867 0.395
O: 0.928 0.516 0.684
O: 0.928 0.984 0.184



(9)
Material: NaIO4
Method: DFT, PBE-GGA
State: optimized geometry

Properties
- distance to the lowest polymorph of the same formula (eV per atom) = 0.013

a = 6.059 Å, b = 4.984 Å, c = 5.554 Å
α = 90.00°, β = 106.47°, γ = 90.00°
Sites, in units of the cell vectors:
Na: 0.000 0.000 0.000
Na: 0.000 0.500 0.500
I: 0.500 0.000 0.500
I: 0.500 0.500 0.000
O: 0.216 0.147 0.407
O: 0.216 0.353 0.907
O: 0.372 0.749 0.710
O: 0.372 0.751 0.210
O: 0.628 0.249 0.790
O: 0.628 0.251 0.290
O: 0.784 0.647 0.093
O: 0.784 0.853 0.593



(10)
Material: NaIO3
Method: DFT, PBE-GGA
State: optimized geometry

a = 7.232 Å, b = 7.232 Å, c = 6.916 Å
α = 99.84°, β = 99.84°, γ = 90.67°
Sites, in units of the cell vectors:
Na: 0.077 0.923 0.750
Na: 0.287 0.713 0.250
Na: 0.713 0.287 0.750
Na: 0.923 0.077 0.250
I: 0.199 0.429 0.677
I: 0.429 0.199 0.177
I: 0.571 0.801 0.823
I: 0.801 0.571 0.323
O: 0.013 0.242 0.633
O: 0.143 0.611 0.874
O: 0.242 0.013 0.133
O: 0.316 0.392 0.312
O: 0.389 0.857 0.626
O: 0.392 0.316 0.812
O: 0.608 0.684 0.188
O: 0.611 0.143 0.374
O: 0.684 0.608 0.688
O: 0.758 0.987 0.867
O: 0.857 0.389 0.126
O: 0.987 0.758 0.367



(11)
Material: Na2IO5
Method: DFT, PBE-GGA
State: optimized geometry

a = 6.766 Å, b = 6.766 Å, c = 7.324 Å
α = 119.62°, β = 119.62°, γ = 50.82°
Sites, in units of the cell vectors:
Na: 0.148 0.175 0.483
Na: 0.175 0.148 0.983
Na: 0.825 0.852 0.017
Na: 0.852 0.825 0.517
I: 0.500 0.500 0.000
I: 0.500 0.500 0.500
O: 0.155 0.726 0.869
O: 0.231 0.425 0.373
O: 0.274 0.845 0.631
O: 0.357 0.643 0.250
O: 0.425 0.231 0.873
O: 0.575 0.769 0.127
O: 0.643 0.357 0.750
O: 0.726 0.155 0.369
O: 0.769 0.575 0.627
O: 0.845 0.274 0.131



(12)
Material: Na2I3O8
Method: DFT, PBE-GGA
State: optimized geometry

a = 6.826 Å, b = 6.826 Å, c = 5.551 Å
α = 108.51°, β = 108.51°, γ = 61.62°
Sites, in units of the cell vectors:
Na: 0.216 0.216 0.153
Na: 0.784 0.784 0.847
I: 0.235 0.765 0.500
I: 0.500 0.500 0.000
I: 0.765 0.235 0.500
O: 0.100 0.100 0.453
O: 0.178 0.611 0.099
O: 0.389 0.822 0.901
O: 0.394 0.394 0.588
O: 0.606 0.606 0.412
O: 0.611 0.178 0.099
O: 0.822 0.389 0.901
O: 0.900 0.900 0.547



Per-record formation energy (no corrections), meV per atom: -1207 827 -878 -484 -1159 -1182 -1078 -472 -606 -834 -778 -452